[1]
ZrTi2Mo: single point on PBEsol structure, meta-GGA SCAN.

a = 4.572 Å, b = 4.572 Å, c = 4.572 Å
α = 60.00°, β = 60.00°, γ = 60.00°
Positions (direct):
Mo: 0.500 0.500 0.500
Ti: 0.250 0.250 0.250
Zr: 0.000 0.000 0.000
Ti: 0.750 0.750 0.750

## Properties
As for the electronic total energy: -24.325 eV per atom. Its energy of formation from the pure elements is 0.34 eV per formula unit. For the magnetization, the calculation gives 0.00 μB/f.u.

[2]
ZrTiMo4: single point on PBEsol structure, meta-GGA SCAN.

a = 5.255 Å, b = 5.255 Å, c = 5.255 Å
α = 60.00°, β = 60.00°, γ = 60.00°
Positions (direct):
Mo: 0.375 0.375 0.875
Ti: 0.750 0.750 0.750
Mo: 0.375 0.875 0.375
Mo: 0.375 0.375 0.375
Zr: 0.000 0.000 0.000
Mo: 0.875 0.375 0.375

## Properties
As for the electronic total energy: -31.120 eV per atom. Its energy of formation from the pure elements is -0.45 eV per formula unit. For the magnetization, the calculation gives 0.00 μB/f.u.

[3]
ZrTi3Mo: single point on PBEsol structure, meta-GGA SCAN.

a = 4.577 Å, b = 4.577 Å, c = 4.577 Å
α = 90.00°, β = 90.00°, γ = 90.00°
Positions (direct):
Ti: 0.500 0.000 0.000
Ti: 0.000 0.500 0.000
Mo: 0.500 0.500 0.500
Ti: 0.000 0.000 0.500
Zr: 0.000 0.000 0.000

## Properties
As for the electronic total energy: -21.226 eV per atom. Its energy of formation from the pure elements is 7.54 eV per formula unit. For the magnetization, the calculation gives 0.01 μB/f.u.